This record from Alexandria via LeMat-Bulk describes an optimized crystal structure of BeRhW3. The functional is PBE.

Unit cell a=4.6819 b=4.6819 c=4.6819 alpha=90.00 beta=90.00 gamma=90.00
Space group Pm-3m (No. 221)
Symmetry-distinct sites (fractional):
Be 0.0000 0.0000 0.0000 (multiplicity 1)
Rh 0.5000 0.5000 0.5000 (multiplicity 1)
W 0.0000 0.5000 0.5000 (multiplicity 3)

ΔE_f = 2288 meV/atom
DOS at the Fermi energy = 0.9143 states/eV per atom
Crystal system = cubic